1.
{
  "formula": "FeSi3Ir",
  "functional": "meta-GGA SCAN",
  "state": "PBEsol geometry",
  "cell": [[-1.748, -2.100, 3.183], [3.482, -2.306, 0.391], [1.555, 2.805, 2.704]],
  "species": ["Ir", "Si", "Si", "Si", "Fe"],
  "fractional_positions": [[0.500, 0.500, 0.500], [0.500, 0.000, 0.000], [0.000, 0.000, 0.500], [0.000, 0.500, 0.000], [0.000, 0.000, 0.000]],
  "space_group": "No. 221",
  "vol_a3_per_atom": 14.77,
  "dft_energy_ev_per_atom": -23.191,
  "e_form_raw_ev_per_atom": 0.66,
  "mass_density_g_cm3": 7.47,
  "n_ef_per_ev_atom": 0.9331
}

***

2.
{
  "formula": "LiCdCl2",
  "functional": "meta-GGA SCAN",
  "state": "PBEsol geometry",
  "cell": [[-3.116, 1.696, -1.753], [-2.470, -3.146, 1.347], [-1.069, 2.820, 4.629]],
  "species": ["Cl", "Li", "Cd", "Cl"],
  "fractional_positions": [[0.500, 0.804, 0.000], [0.000, 0.474, 0.000], [0.500, 0.866, 0.500], [0.000, 0.357, 0.500]],
  "space_group": "No. 25",
  "vol_a3_per_atom": 23.07,
  "dft_energy_ev_per_atom": -13.345,
  "e_form_raw_ev_per_atom": -1.16,
  "relative_energy_ev_per_atom": 0.0000,
  "mass_density_g_cm3": 3.42,
  "n_ef_per_ev_atom": 0.2375
}

***

Copy entry 1 word for word.
{
  "formula": "FeSi3Ir",
  "functional": "meta-GGA SCAN",
  "state": "PBEsol geometry",
  "cell": [[-1.748, -2.100, 3.183], [3.482, -2.306, 0.391], [1.555, 2.805, 2.704]],
  "species": ["Ir", "Si", "Si", "Si", "Fe"],
  "fractional_positions": [[0.500, 0.500, 0.500], [0.500, 0.000, 0.000], [0.000, 0.000, 0.500], [0.000, 0.500, 0.000], [0.000, 0.000, 0.000]],
  "space_group": "No. 221",
  "vol_a3_per_atom": 14.77,
  "dft_energy_ev_per_atom": -23.191,
  "e_form_raw_ev_per_atom": 0.66,
  "mass_density_g_cm3": 7.47,
  "n_ef_per_ev_atom": 0.9331
}